# PBE Li2TlP2, optimized geometry
data_Li2TlP2
_chemical_formula_sum 'Li4 Tl2 P4'
_symmetry_space_group_name_H-M 'P 4/m b m'
_symmetry_Int_Tables_number 127
_symmetry_space_group_name_Hall '-P 4 2ab'
_cell_length_a 8.083
_cell_length_b 8.083
_cell_length_c 2.757
_cell_angle_alpha 90.00
_cell_angle_beta 90.00
_cell_angle_gamma 90.00
loop_
_atom_site_label
_atom_site_fract_x
_atom_site_fract_y
_atom_site_fract_z
Li1 0.126 0.374 0.000
Tl1 0.000 0.000 0.000
P1 0.165 0.665 0.500
# ΔE_f = -2.7 kcal/mol of atoms
# V = 180.2 Å³ per cell
# ρ = 5.165 g/cm3